1.
Material: CuSiOF2
Method: DFT, PBE
State: optimized geometry

a = 4.090 Å, b = 4.090 Å, c = 3.395 Å
α = 90.00°, β = 90.00°, γ = 90.00°
Positions (direct):
Si 0.000 0.000 0.000
O 0.000 0.000 0.500
Cu 0.500 0.500 0.500
F 0.000 0.500 0.000
F 0.500 0.000 0.000

Results
Space group: P4/mmm, No. 123
E_form (uncorrected) in eV/atom: -1.282
Total DFT energy (no corrections) in eV/cell: -24.63
Energy relative to the lowest polymorph listed for this composition in meV/atom: 0.0

=====

2.
Material: CuSiOF2
Method: DFT, PBE
State: optimized geometry

a = 3.907 Å, b = 3.907 Å, c = 3.946 Å
α = 90.00°, β = 90.00°, γ = 90.00°
Positions (direct):
Si 0.500 0.500 0.500
O 0.000 0.000 0.500
Cu 0.000 0.000 0.000
F 0.000 0.500 0.000
F 0.500 0.000 0.000

Results
Space group: P4/mmm, No. 123
E_form (uncorrected) in eV/atom: -0.742
Total DFT energy (no corrections) in eV/cell: -21.93
Energy relative to the lowest polymorph listed for this composition in meV/atom: 539.2

=====

3.
Material: CuSiO2F
Method: DFT, PBE
State: optimized geometry

a = 3.834 Å, b = 3.834 Å, c = 3.783 Å
α = 90.00°, β = 90.00°, γ = 90.00°
Positions (direct):
Si 0.500 0.500 0.500
O 0.000 0.500 0.000
O 0.500 0.000 0.000
Cu 0.000 0.000 0.000
F 0.000 0.000 0.500

Results
Space group: P4/mmm, No. 123
E_form (uncorrected) in eV/atom: -0.401
Total DFT energy (no corrections) in eV/cell: -23.31

=====

4.
Material: CuSiO4F6
Method: DFT, PBE
State: optimized geometry

a = 7.806 Å, b = 4.907 Å, c = 7.725 Å
α = 77.86°, β = 90.00°, γ = 90.00°
Each line ends with the local moment (μB).
Positions (direct):
Cu 0.500 0.000 0.500  0.20
Cu 0.000 0.000 0.000  0.20
Si 0.500 0.500 0.000  0.00
Si 0.000 0.500 0.500  0.00
O 0.714 0.028 0.590  1.27
O 0.214 0.972 0.910  1.27
O 0.286 0.972 0.410  1.27
O 0.786 0.028 0.090  1.27
O 0.559 0.685 0.423  1.13
O 0.059 0.315 0.077  1.13
O 0.441 0.315 0.577  1.13
O 0.941 0.685 0.923  1.13
F 0.691 0.614 0.076  0.24
F 0.191 0.386 0.424  0.24
F 0.309 0.386 0.924  0.24
F 0.809 0.614 0.576  0.24
F 0.615 0.279 0.897  0.21
F 0.115 0.721 0.603  0.21
F 0.385 0.721 0.103  0.21
F 0.885 0.279 0.397  0.21
F 0.492 0.254 0.189  0.07
F 0.992 0.746 0.311  0.07
F 0.508 0.746 0.811  0.07
F 0.008 0.254 0.689  0.07

Results
Space group: P2_1/c, No. 14
E_form (uncorrected) in eV/atom: -0.911
Total DFT energy (no corrections) in eV/cell: -103.02

=====

5.
Material: CuSnO2F
Method: DFT, PBE
State: optimized geometry

a = 3.922 Å, b = 3.922 Å, c = 3.907 Å
α = 90.00°, β = 90.00°, γ = 90.00°
Positions (direct):
O 0.000 0.500 0.000
O 0.500 0.000 0.000
Sn 0.500 0.500 0.500
Cu 0.000 0.000 0.000
F 0.000 0.000 0.500

Results
Space group: P4/mmm, No. 123
E_form (uncorrected) in eV/atom: -0.864
Total DFT energy (no corrections) in eV/cell: -24.21

=====

6.
Material: CuSnO2F
Method: DFT, PBE
State: optimized geometry

a = 4.009 Å, b = 4.171 Å, c = 4.009 Å
α = 90.00°, β = 90.00°, γ = 90.00°
Positions (direct):
O 0.000 0.000 0.500
O 0.500 0.000 0.000
Sn 0.000 0.000 0.000
Cu 0.500 0.500 0.500
F 0.000 0.500 0.000

Results
Space group: P4/mmm, No. 123
E_form (uncorrected) in eV/atom: -0.962
Total DFT energy (no corrections) in eV/cell: -24.70

=====

7.
Material: CuSnO4F6
Method: DFT, PBE
State: optimized geometry

a = 8.288 Å, b = 4.974 Å, c = 8.025 Å
α = 79.09°, β = 90.00°, γ = 90.00°
Each line ends with the local moment (μB).
Positions (direct):
Cu 0.500 0.500 0.000  0.20
Cu 0.000 0.500 0.500  0.20
Sn 0.500 0.000 0.500  0.00
Sn 0.000 0.000 0.000  0.00
O 0.059 0.183 0.429  1.12
O 0.941 0.817 0.571  1.12
O 0.559 0.817 0.071  1.12
O 0.441 0.183 0.929  1.12
O 0.797 0.451 0.421  1.27
O 0.203 0.549 0.579  1.27
O 0.297 0.549 0.079  1.27
O 0.703 0.451 0.921  1.27
F 0.710 0.857 0.419  0.26
F 0.290 0.143 0.581  0.26
F 0.210 0.143 0.081  0.26
F 0.790 0.857 0.919  0.26
F 0.866 0.248 0.116  0.21
F 0.134 0.752 0.884  0.21
F 0.366 0.752 0.384  0.21
F 0.634 0.248 0.616  0.21
F 0.504 0.273 0.285  0.06
F 0.496 0.727 0.715  0.06
F 0.004 0.727 0.215  0.06
F 0.996 0.273 0.785  0.06

Results
Space group: P2_1/c, No. 14
E_form (uncorrected) in eV/atom: -0.640
Total DFT energy (no corrections) in eV/cell: -93.68

=====

8.
Material: CuSnOF2
Method: DFT, PBE
State: optimized geometry

a = 4.030 Å, b = 4.030 Å, c = 3.993 Å
α = 90.00°, β = 90.00°, γ = 90.00°
Positions (direct):
O 0.000 0.000 0.500
Sn 0.500 0.500 0.500
Cu 0.000 0.000 0.000
F 0.000 0.500 0.000
F 0.500 0.000 0.000

Results
Space group: P4/mmm, No. 123
E_form (uncorrected) in eV/atom: -1.248
Total DFT energy (no corrections) in eV/cell: -23.04
Energy relative to the lowest polymorph listed for this composition in meV/atom: 0.0

=====

9.
Material: CuSnOF2
Method: DFT, PBE
State: optimized geometry

a = 4.367 Å, b = 4.367 Å, c = 4.070 Å
α = 90.00°, β = 90.00°, γ = 90.00°
Positions (direct):
O 0.000 0.000 0.500
Sn 0.000 0.000 0.000
Cu 0.500 0.500 0.500
F 0.000 0.500 0.000
F 0.500 0.000 0.000

Results
Space group: P4/mmm, No. 123
E_form (uncorrected) in eV/atom: -1.102
Total DFT energy (no corrections) in eV/cell: -22.31
Energy relative to the lowest polymorph listed for this composition in meV/atom: 146.1

=====

10.
Material: SrCuO2F
Method: DFT, PBE
State: optimized geometry

a = 3.836 Å, b = 3.836 Å, c = 4.166 Å
α = 90.00°, β = 90.00°, γ = 90.00°
Positions (direct):
Sr 0.500 0.500 0.500
O 0.000 0.500 0.000
O 0.500 0.000 0.000
Cu 0.000 0.000 0.000
F 0.000 0.000 0.500

Results
Space group: P4/mmm, No. 123
E_form (uncorrected) in eV/atom: -1.813
Total DFT energy (no corrections) in eV/cell: -26.63

=====

11.
Material: Sr3Cu2O4F2
Method: DFT, PBE
State: optimized geometry

a = 3.910 Å, b = 3.910 Å, c = 10.600 Å
α = 100.63°, β = 100.63°, γ = 90.00°
Each line ends with the local moment (μB).
Positions (direct):
Sr 0.000 0.000 0.000  0.00
Sr 0.169 0.169 0.337  0.00
Sr 0.831 0.831 0.663  0.00
Cu 0.417 0.417 0.834  0.06
Cu 0.583 0.583 0.166  0.06
O 0.414 0.914 0.827  0.02
O 0.914 0.414 0.827  0.02
O 0.086 0.586 0.173  0.02
O 0.586 0.086 0.173  0.02
F 0.290 0.290 0.580  0.00
F 0.710 0.710 0.420  0.00

Results
Space group: I4/mmm, No. 139
E_form (uncorrected) in eV/atom: -2.288
Total DFT energy (no corrections) in eV/cell: -61.98

=====

12.
Material: SrCuO2F
Method: DFT, PBE
State: optimized geometry

a = 4.638 Å, b = 4.638 Å, c = 4.589 Å
α = 90.00°, β = 90.00°, γ = 90.00°
Each line ends with the local moment (μB).
Positions (direct):
Sr 0.000 0.000 0.000  -0.05
O 0.000 0.500 0.000  -0.78
O 0.500 0.000 0.000  -0.78
Cu 0.500 0.500 0.500  -0.14
F 0.000 0.000 0.500  0.01

Results
Space group: P4/mmm, No. 123
E_form (uncorrected) in eV/atom: -0.616
Total DFT energy (no corrections) in eV/cell: -20.65